# 1
The following is a DFT calculation (PBE) of TlSiAg after structural relaxation.

```
data_TlSiAg
_cell_length_a 3.4463
_cell_length_b 3.4463
_cell_length_c 6.3061
_cell_angle_alpha 90.00
_cell_angle_beta 90.00
_cell_angle_gamma 120.00
_symmetry_space_group_name_H-M 'P 3 m 1'
_symmetry_Int_Tables_number 156
loop_
_symmetry_equiv_pos_as_xyz
'x,y,z'
'-y,x-y,z'
'-x+y,-x,z'
'-y,-x,z'
'-x+y,y,z'
'x,x-y,z'
loop_
_atom_site_label
_atom_site_type_symbol
_atom_site_fract_x
_atom_site_fract_y
_atom_site_fract_z
Tl1 Tl 0.0000 0.0000 0.0000
Si1 Si 0.6667 0.3333 0.6388
Ag1 Ag 0.3333 0.6667 0.3740
```

Values from the calculation:
Energy relative to the elements, uncorrected (kJ/mol of atoms): 38


# 2
The following is a DFT calculation (PBE) of TiAlS2Cl after structural relaxation.

```
data_TiAlS2Cl
_cell_length_a 4.736
_cell_length_b 4.736
_cell_length_c 4.891
_cell_angle_alpha 90.00
_cell_angle_beta 90.00
_cell_angle_gamma 90.00
_symmetry_space_group_name_H-M 'P 4/m m m'
_symmetry_Int_Tables_number 123
_symmetry_space_group_name_Hall '-P 4 2'
loop_
_atom_site_label
_atom_site_type_symbol
_atom_site_fract_x
_atom_site_fract_y
_atom_site_fract_z
Ti1 Ti 0.000 0.000 0.000
Al1 Al 0.500 0.500 0.500
S1 S 0.000 0.500 0.000
Cl1 Cl 0.000 0.000 0.500
```

Values from the calculation:
Energy relative to the elements, uncorrected (kJ/mol of atoms): -62
Energy above the lowest structure with this stoichiometry (eV/atom): 0.000


# 3
The following is a DFT calculation (PBE) of LaGdPd2 after structural relaxation.

```
data_LaGdPd2
_cell_length_a 7.228
_cell_length_b 7.228
_cell_length_c 7.228
_cell_angle_alpha 90.00
_cell_angle_beta 90.00
_cell_angle_gamma 90.00
_symmetry_space_group_name_H-M 'F m -3 m'
_symmetry_Int_Tables_number 225
_symmetry_space_group_name_Hall '-F 4 2 3'
loop_
_atom_site_label
_atom_site_type_symbol
_atom_site_fract_x
_atom_site_fract_y
_atom_site_fract_z
La1 La 0.000 0.000 0.000
Gd1 Gd 0.000 0.000 0.500
Pd1 Pd 0.250 0.250 0.250
```

Values from the calculation:
Energy above the lowest structure with this stoichiometry (eV/atom): 0.004


# 4
The following is a DFT calculation (PBE) of LaGdCd after structural relaxation.

```
data_LaGdCd
_cell_length_a 5.3713
_cell_length_b 5.3713
_cell_length_c 3.6315
_cell_angle_alpha 90.00
_cell_angle_beta 90.00
_cell_angle_gamma 120.00
_symmetry_space_group_name_H-M 'P 3 m 1'
_symmetry_Int_Tables_number 156
loop_
_symmetry_equiv_pos_as_xyz
'x,y,z'
'-y,x-y,z'
'-x+y,-x,z'
'-y,-x,z'
'-x+y,y,z'
'x,x-y,z'
loop_
_atom_site_label
_atom_site_type_symbol
_atom_site_fract_x
_atom_site_fract_y
_atom_site_fract_z
La1 La 0.0000 0.0000 0.0000
Gd1 Gd 0.3333 0.6667 0.5876
Cd1 Cd 0.6667 0.3333 0.3640
```

Values from the calculation:
Energy above the lowest structure with this stoichiometry (eV/atom): 0.114